No. 1
A plane-wave DFT calculation with PBE-GGA was carried out for a geometry-optimized DyErInRu structure.

- E_tot (eV per atom) = -5.64
- space group = F-43m
- relative energy among the computed polymorphs (eV/f.u.) = 0.53
- energy of formation (kJ/mol of atoms) = -34
- magnetization (Bohr magnetons per cell) = 0.000
- density of states at the Fermi level (states/eV per atom) = 0.69

abc: 5.038 5.038 5.038
angles: 60.00 60.00 60.00
Element x y z (fractional)
Er: 0.000 0.000 0.000
Dy: 0.500 0.500 0.500
Ru: 0.750 0.750 0.750
In: 0.250 0.250 0.250

No. 2
A plane-wave DFT calculation with PBE-GGA was carried out for a geometry-optimized DyErInRu structure.

- E_tot (eV per atom) = -5.78
- space group = P4mm
- relative energy among the computed polymorphs (eV/f.u.) = 0.00
- energy of formation (kJ/mol of atoms) = -46
- magnetization (Bohr magnetons per cell) = 0.000
- density of states at the Fermi level (states/eV per atom) = 0.73

abc: 3.441 3.441 7.788
angles: 90.00 90.00 90.00
Element x y z (fractional)
Ru: 0.000 0.000 0.568
In: 0.000 0.000 0.074
Dy: 0.500 0.500 0.783
Er: 0.500 0.500 0.360

No. 3
A plane-wave DFT calculation with PBE-GGA was carried out for a geometry-optimized DyEr2In3S6 structure.

- E_tot (eV per atom) = -5.30
- ΔE_f (raw) (kJ/mol of atoms) = -135.6
- space group = C2/m
- magnetization (Bohr magnetons per cell) = 0.000

abc: 6.875 6.875 7.855
angles: 98.39 98.39 120.00
Element x y z (fractional)
In: 0.834 0.166 0.500
In: 0.166 0.834 0.500
In: 0.500 0.500 0.500
Dy: 0.000 0.000 0.000
S: 0.402 0.067 0.200
S: 0.067 0.402 0.200
S: 0.269 0.269 0.801
S: 0.598 0.933 0.800
S: 0.933 0.598 0.800
S: 0.731 0.731 0.199
Er: 0.667 0.333 0.000
Er: 0.333 0.667 0.000

No. 4
A plane-wave DFT calculation with PBE-GGA was carried out for a geometry-optimized DyEr2ScIn2 structure.

- E_tot (eV per atom) = -4.61
- space group = Pmc2_1
- energy of formation (kJ/mol of atoms) = -34
- magnetization (Bohr magnetons per cell) = 0.000
- density of states at the Fermi level (states/eV per atom) = 1.17

abc: 5.259 6.647 9.140
angles: 90.00 90.00 90.00
Element x y z (fractional)
Er: 0.500 0.508 0.995
Er: 0.000 0.264 0.164
Er: 0.000 0.764 0.836
Er: 0.500 0.008 0.005
In: 0.000 0.759 0.173
In: 0.500 0.256 0.342
In: 0.000 0.259 0.827
In: 0.500 0.756 0.658
Sc: 0.500 0.751 0.330
Sc: 0.500 0.251 0.670
Dy: 0.000 0.506 0.504
Dy: 0.000 0.006 0.496

No. 5
A plane-wave DFT calculation with PBE-GGA was carried out for a geometry-optimized DyEr2ScIn4 structure.

- E_tot (eV per atom) = -4.31
- space group = R-3m
- energy of formation (kJ/mol of atoms) = -41
- magnetization (Bohr magnetons per cell) = 0.000
- density of states at the Fermi level (states/eV per atom) = 0.55

abc: 5.224 5.224 9.081
angles: 73.28 73.28 60.00
Element x y z (fractional)
Er: 0.751 0.751 0.748
Er: 0.249 0.249 0.252
In: 0.623 0.623 0.131
In: 0.377 0.377 0.869
In: 0.873 0.873 0.380
In: 0.127 0.127 0.620
Sc: 0.500 0.500 0.500
Dy: 0.000 0.000 0.000

No. 6
A plane-wave DFT calculation with PBE-GGA was carried out for a geometry-optimized Dy2ErIn3Se6 structure.

- E_tot (eV per atom) = -4.87
- ΔE_f (raw) (kJ/mol of atoms) = -125.4
- space group = C2/m
- magnetization (Bohr magnetons per cell) = 0.000

abc: 7.167 7.167 8.107
angles: 98.48 98.48 120.00
Element x y z (fractional)
In: 0.500 0.500 0.500
In: 0.167 0.833 0.500
In: 0.833 0.167 0.500
Se: 0.600 0.931 0.793
Se: 0.262 0.262 0.792
Se: 0.400 0.069 0.207
Se: 0.931 0.600 0.793
Se: 0.069 0.400 0.207
Se: 0.738 0.738 0.208
Dy: 0.333 0.667 0.000
Dy: 0.667 0.333 0.000
Er: 0.000 0.000 0.000